A plane-wave DFT calculation with PBE was carried out for crystalline BeAs2Cl at its relaxed geometry.

Space-group type: Pm (6)
Energy above the lowest structure with this stoichiometry in eV per atom: 0.000
DOS(E_F) in states/eV per atom: 0.31
Total magnetic moment in μB per cell: 0.0

abc: 4.149 3.391 7.546
angles: 90.00 102.62 90.00
Element x y z (fractional)
1 Be 0.000 0.000 0.000
2 As 0.132 0.000 0.306
3 As 0.700 0.500 0.229
4 Cl 0.975 0.500 0.836

=====

A plane-wave DFT calculation with PBE was carried out for crystalline BeAsCl3 at its relaxed geometry.

Space-group type: Pm-3m (221)
Energy above the lowest structure with this stoichiometry in eV per atom: 0.000
DOS(E_F) in states/eV per atom: 0.46
Total magnetic moment in μB per cell: 0.0

abc: 4.502 4.502 4.502
angles: 90.00 90.00 90.00
Element x y z (fractional)
1 Be 0.000 0.000 0.000
2 As 0.500 0.500 0.500
3 Cl 0.000 0.000 0.500
4 Cl 0.000 0.500 0.000
5 Cl 0.500 0.000 0.000

=====

A plane-wave DFT calculation with PBE was carried out for crystalline BeAs2Cl at its relaxed geometry.

Space-group type: P4/mmm (123)
Energy above the lowest structure with this stoichiometry in eV per atom: 0.835
DOS(E_F) in states/eV per atom: 0.33
Total magnetic moment in μB per cell: 0.0

abc: 4.863 4.863 2.935
angles: 90.00 90.00 90.00
Element x y z (fractional)
1 Be 0.000 0.000 0.000
2 As 0.000 0.500 0.500
3 As 0.500 0.000 0.500
4 Cl 0.500 0.500 0.000

=====

A plane-wave DFT calculation with PBE was carried out for crystalline BeAs2Cl at its relaxed geometry.

Space-group type: I4/mmm (139)
Energy above the lowest structure with this stoichiometry in eV per atom: 0.500
DOS(E_F) in states/eV per atom: 0.32
Total magnetic moment in μB per cell: 0.0

abc: 4.554 4.554 4.554
angles: 111.14 111.14 106.19
Element x y z (fractional)
1 Be 0.000 0.000 0.000
2 As 0.000 0.500 0.500
3 As 0.500 0.000 0.500
4 Cl 0.500 0.500 0.000

=====

A plane-wave DFT calculation with PBE was carried out for crystalline BeAs2Cl at its relaxed geometry.

Space-group type: P4/mmm (123)
Energy above the lowest structure with this stoichiometry in eV per atom: 0.425
DOS(E_F) in states/eV per atom: 0.56
Total magnetic moment in μB per cell: 0.0

abc: 3.047 3.047 7.778
angles: 90.00 90.00 90.00
Element x y z (fractional)
1 Be 0.000 0.000 0.000
2 As 0.500 0.500 0.173
3 As 0.500 0.500 0.827
4 Cl 0.000 0.000 0.500

=====

A plane-wave DFT calculation with PBE was carried out for crystalline BeAs2Cl at its relaxed geometry.

Space-group type: Cmm2 (35)
Energy above the lowest structure with this stoichiometry in eV per atom: 0.232
DOS(E_F) in states/eV per atom: 0.34
Total magnetic moment in μB per cell: 0.0

abc: 3.264 3.264 9.225
angles: 90.00 90.00 121.01
Element x y z (fractional)
1 Be 0.000 0.000 0.000
2 As 0.000 0.000 0.582
3 As 0.500 0.500 0.801
4 Cl 0.500 0.500 0.143

=====

A plane-wave DFT calculation with PBE was carried out for crystalline BeAs4Cl2 at its relaxed geometry.

Space-group type: I4/mmm (139)
DOS(E_F) in states/eV per atom: 0.30
Calculated total energy in eV/cell: -22.6
Total magnetic moment in μB per cell: 0.0

abc: 8.620 8.620 8.620
angles: 147.03 147.03 47.32
Element x y z (fractional)
1 Be 0.000 0.000 0.000
2 As 0.000 0.500 0.500
3 As 0.129 0.129 0.000
4 As 0.500 0.000 0.500
5 As 0.871 0.871 0.000
6 Cl 0.400 0.400 0.000
7 Cl 0.600 0.600 0.000

=====

A plane-wave DFT calculation with PBE was carried out for crystalline BeAs2Cl at its relaxed geometry.

Space-group type: F-43m (216)
Energy above the lowest structure with this stoichiometry in eV per atom: 0.750
DOS(E_F) in states/eV per atom: 0.39
Total magnetic moment in μB per cell: 0.0

abc: 4.606 4.606 4.606
angles: 60.00 60.00 60.00
Element x y z (fractional)
1 Be 0.000 0.000 0.000
2 As 0.250 0.250 0.250
3 As 0.500 0.500 0.500
4 Cl 0.750 0.750 0.750